Compound: LaTl2Zn
Source: Alexandria
Functional: PBE-GGA
Structure: relaxed

Cell and atoms, written as CIF:
```
data_LaTl2Zn
_chemical_formula_sum 'La1 Tl2 Zn1'
_symmetry_space_group_name_H-M 'P 1 2/m 1'
_symmetry_Int_Tables_number 10
_cell_length_a 3.892
_cell_length_b 4.825
_cell_length_c 6.009
_cell_angle_alpha 90.00
_cell_angle_beta 99.48
_cell_angle_gamma 90.00
loop_
_symmetry_equiv_pos_as_xyz
'x,y,z'
'-x,-y,-z'
'-x,y,-z'
'x,-y,z'
loop_
_atom_site_label
_atom_site_type_symbol
_atom_site_fract_x
_atom_site_fract_y
_atom_site_fract_z
_atom_site_occupancy
La1 La 0.000 0.000 0.000 1
Tl1 Tl 0.325 0.500 0.724 1
Zn1 Zn 0.500 0.000 0.500 1
```

Properties
Raw total energy in eV per atom: -2.88

=====

Compound: RbTl2Br6
Source: Alexandria
Functional: PBE-GGA
Structure: relaxed

Cell and atoms, written as CIF:
```
data_RbTl2Br6
_chemical_formula_sum 'Rb4 Tl8 Br24'
_symmetry_space_group_name_H-M 'C 1 2/c 1'
_symmetry_Int_Tables_number 15
_cell_length_a 16.539
_cell_length_b 13.054
_cell_length_c 8.378
_cell_angle_alpha 90.00
_cell_angle_beta 115.66
_cell_angle_gamma 90.00
loop_
_symmetry_equiv_pos_as_xyz
'x,y,z'
'-x,-y,-z'
'-x,y,-z+1/2'
'x,-y,z+1/2'
'x+1/2,y+1/2,z'
'-x+1/2,-y+1/2,-z'
'-x+1/2,y+1/2,-z+1/2'
'x+1/2,-y+1/2,z+1/2'
loop_
_atom_site_label
_atom_site_type_symbol
_atom_site_fract_x
_atom_site_fract_y
_atom_site_fract_z
_atom_site_occupancy
Rb1 Rb 0.000 0.201 0.250 1
Tl1 Tl 0.244 0.404 0.122 1
Br1 Br 0.090 0.044 0.636 1
Br2 Br 0.147 0.468 0.337 1
Br3 Br 0.170 0.213 0.099 1
```

Properties
Uncorrected formation energy in kJ/mol of formula units: -652

=====

Sequential total moment output: 0.00; 0.00 Bohr magnetons per cell
Sequential density of states at the Fermi level output: 0.5833; 0.4719 states/eV per atom